(1)
# La4UPa3N8

A geometry-optimized La4UPa3N8 structure (PBE, Alexandria). Values from VASP.

The structure in Quantum ESPRESSO input format:
```
&SYSTEM
  ibrav = 0, nat = 16, ntyp = 4
/
ATOMIC_SPECIES
La 138.91 La.upf
U 238.03 U.upf
Pa 231.04 Pa.upf
N 14.01 N.upf
ATOMIC_POSITIONS angstrom
La 0.000 0.000 0.000
La -1.794 -1.036 5.912
La -1.794 1.036 11.824
La 0.000 2.072 5.912
U 0.000 0.000 8.868
Pa -3.588 0.000 8.868
Pa -1.794 1.036 2.956
Pa 1.794 1.036 2.956
N 0.000 0.000 4.135
N -1.747 -1.009 10.035
N 0.000 -2.018 7.701
N -1.747 1.009 7.701
N 1.747 -1.009 10.035
N 0.000 2.018 10.035
N 1.747 1.009 7.701
N 0.000 0.000 13.601
CELL_PARAMETERS angstrom
3.588 2.072 5.912
-3.588 2.072 5.912
0.000 -4.144 5.912
```

Values from the calculation:
* symmetry: R-3m, No. 166
* ΔE_f (raw): -1.53 eV per atom
* calculated volume: 263.7 Å³ per cell
* uncorrected energy: -9.4091 eV per atom


(2)
# LaPaVN4

A geometry-optimized LaPaVN4 structure (PBE, Alexandria). Values from VASP.

The structure in Quantum ESPRESSO input format:
```
&SYSTEM
  ibrav = 0, nat = 14, ntyp = 4
/
ATOMIC_SPECIES
La 138.91 La.upf
Pa 231.04 Pa.upf
V 50.94 V.upf
N 14.01 N.upf
ATOMIC_POSITIONS angstrom
La 0.299 1.392 2.793
La 3.408 4.175 3.781
Pa -0.369 1.392 6.230
Pa 4.076 4.175 0.344
V 1.115 4.175 1.210
V 2.593 1.392 5.364
N -1.695 4.175 6.112
N -0.426 4.175 2.248
N 2.303 2.806 1.394
N 2.303 5.544 1.394
N 1.405 0.023 5.180
N 1.405 2.761 5.180
N 4.134 1.392 4.326
N 5.403 1.392 0.462
CELL_PARAMETERS angstrom
5.854 0.000 0.000
0.000 5.567 0.000
-2.146 0.000 6.574
```

Values from the calculation:
* symmetry: P2_1/m, No. 11
* ΔE_f (raw): -1.25 eV per atom
* calculated volume: 214.2 Å³ per cell
* uncorrected energy: -9.3715 eV per atom


What is the ΔE_f (raw) in the first record? -1.53 eV per atom